Record 1
The following is a DFT calculation (PBE-GGA) of an optimized crystal structure of Cs2Pm2Br7.

Values from the calculation:
The calculation puts the energy above the most stable polymorph in this dataset at 13 meV/atom. The value obtained for the density of states at the Fermi level is 5.249 states/eV per cell. Its uncorrected formation energy is -1.7101 eV/atom. The calculation puts the density at 4098 kg/m3.

a = 12.582 Å, b = 9.156 Å, c = 7.874 Å
α = 90.00°, β = 94.94°, γ = 90.00°
Space group C2/m (No. 12)
Inequivalent atoms, fractional coordinates:
Cs1 0.000 0.224 0.000
Pm1 0.241 0.000 0.547
Br1 0.000 0.000 0.500
Br2 0.054 0.500 0.291
Br3 0.227 0.286 0.730

Record 2
The following is a DFT calculation (PBE-GGA) of an optimized crystal structure of Tm2Hf2O7.

Values from the calculation:
The value obtained for the density of states at the Fermi level is 0.000 states/eV per cell. Its uncorrected formation energy is -3.5670 eV/atom. The calculation puts the density at 9463 kg/m3.

a = 10.424 Å, b = 10.424 Å, c = 10.424 Å
α = 90.00°, β = 90.00°, γ = 90.00°
Space group Fd-3m (No. 227, origin choice 2)
Inequivalent atoms, fractional coordinates:
Tm1 0.000 0.000 0.000
Hf1 0.000 0.000 0.500
O1 0.090 0.375 0.875
O2 0.125 0.125 0.125

Record 3
The following is a DFT calculation (PBE-GGA) of an optimized crystal structure of Cd2Hg5Pb12.

Values from the calculation:
The formation enthalpy at 0 K is 70 meV per atom. The calculation puts the energy above the most stable polymorph in this dataset at 21 meV/atom. The value obtained for the density of states at the Fermi level is 15.702 states/eV per cell. The calculation puts the density at 10656 kg/m3.

a = 16.537 Å, b = 8.763 Å, c = 8.108 Å
α = 90.00°, β = 99.91°, γ = 90.00°
Space group C2/m (No. 12)
Inequivalent atoms, fractional coordinates:
Cd1 0.000 0.188 0.000
Hg1 0.000 0.500 0.500
Hg2 0.164 0.000 0.104
Hg3 0.248 0.000 0.739
Pb1 0.044 0.000 0.692
Pb2 0.066 0.500 0.176
Pb3 0.152 0.204 0.426
Pb4 0.163 0.307 0.857

Record 4
The following is a DFT calculation (PBE-GGA) of an optimized crystal structure of YInAu.

Values from the calculation:
The formation enthalpy at 0 K is -712 meV per atom. The value obtained for the density of states at the Fermi level is 10.199 states/eV per cell. The calculation puts the density at 9397 kg/m3.

a = 13.808 Å, b = 3.928 Å, c = 7.832 Å
α = 90.00°, β = 90.00°, γ = 90.00°
Space group Pmma (No. 51)
Inequivalent atoms, fractional coordinates:
Y1 0.052 0.000 0.227
Y2 0.250 0.000 0.828
In1 0.111 0.500 0.561
In2 0.250 0.500 0.173
Au1 0.095 0.500 0.929
Au2 0.250 0.000 0.436